# 1
A relaxed structure of Dy8YTm3. Source: Alexandria via LeMat-Bulk, functional PBE.

Computed properties:
ΔE_f: 0.727 eV per atom
space group: No. 139
DOS(E_F): 13.40 states/eV/f.u.
magnetization: 0.00 μB per cell

Cell lengths 7.6382, 7.6382, 9.3682 Å; angles 114.06, 114.06, 90.00 degrees
Last column: nearest neighbours and their distance in Å.
Fractional coordinates of all 12 atoms:
Tm  0.7500  0.2500  0.5000  8 Dy 3.30
Tm  0.5000  0.5000  0.0000  8 Dy 3.30
Tm  0.2500  0.7500  0.5000  8 Dy 3.30
Dy  0.3773  0.3773  0.2517  3 Tm 3.30, 1 Y 3.33
Dy  0.1256  0.1256  0.7483  3 Tm 3.30, 1 Y 3.33
Dy  0.6227  0.1256  0.7483  3 Tm 3.30, 1 Y 3.33
Dy  0.3773  0.8744  0.2517  3 Tm 3.30, 1 Y 3.33
Dy  0.6227  0.6227  0.7483  3 Tm 3.30, 1 Y 3.33
Dy  0.8744  0.3773  0.2517  3 Tm 3.30, 1 Y 3.33
Dy  0.8744  0.8744  0.2517  3 Tm 3.30, 1 Y 3.33
Dy  0.1256  0.6227  0.7483  3 Tm 3.30, 1 Y 3.33
Y  0.0000  0.0000  0.0000  8 Dy 3.33


# 2
A relaxed structure of BaCa2Al. Source: Alexandria via LeMat-Bulk, functional PBE.

Computed properties:
ΔE_f: 0.154 eV per atom
space group: No. 12
DOS(E_F): 5.05 states/eV/f.u.
magnetization: 0.00 μB per cell

Cell lengths 7.1923, 7.1923, 3.7703 Å; angles 75.67, 75.67, 118.48 degrees
Last column: nearest neighbours and their distance in Å.
Fractional coordinates of all 4 atoms:
Ca  0.0000  0.0000  0.0000  2 Ba 3.62, 2 Al 3.62, 6 Ca 3.68-3.79
Ca  0.5000  0.5000  0.0000  2 Al 3.62, 2 Ba 3.62, 6 Ca 3.68-3.79
Al  0.5000  0.0000  0.5000  4 Ca 3.62, 4 Ba 3.68-3.79, 2 Al 3.77
Ba  0.0000  0.5000  0.5000  4 Ca 3.62, 4 Al 3.68-3.79, 2 Ba 3.77


# 3
A relaxed structure of Hf2ZnNi3. Source: Alexandria via LeMat-Bulk, functional PBE.

Computed properties:
ΔE_f: -0.419 eV per atom
space group: No. 62
DOS(E_F): 5.37 states/eV/f.u.
magnetization: 0.00 μB per cell

Cell lengths 3.3823, 6.7310, 15.7095 Å; angles 90.00, 90.00, 90.00 degrees
Last column: nearest neighbours and their distance in Å.
Fractional coordinates of all 24 atoms:
Ni  0.2500  0.7650  0.9441  3 Zn 2.44-2.63, 2 Ni 2.50, 3 Hf 2.55-2.65
Ni  0.2500  0.7295  0.1875  1 Zn 2.48, 2 Ni 2.52-2.60, 6 Hf 2.62-2.68
Ni  0.7500  0.3889  0.6603  4 Ni 2.50-2.60
Ni  0.2500  0.1111  0.1603  4 Ni 2.50-2.60
Ni  0.7500  0.2350  0.0559  3 Zn 2.44-2.63, 2 Ni 2.50, 3 Hf 2.55-2.65
Ni  0.2500  0.2650  0.5559  3 Zn 2.44-2.63, 2 Ni 2.50, 3 Hf 2.55-2.65
Ni  0.7500  0.8889  0.8397  4 Ni 2.50-2.60
Ni  0.2500  0.6111  0.3397  4 Ni 2.50-2.60
Ni  0.7500  0.7705  0.6875  1 Zn 2.48, 2 Ni 2.52-2.60, 6 Hf 2.62-2.68
Ni  0.7500  0.7350  0.4441  3 Zn 2.44-2.63, 2 Ni 2.50, 3 Hf 2.55-2.65
Ni  0.7500  0.2705  0.8125  1 Zn 2.48, 2 Ni 2.52-2.60, 6 Hf 2.62-2.68
Ni  0.2500  0.2295  0.3125  1 Zn 2.48, 2 Ni 2.52-2.60, 6 Hf 2.62-2.68
Hf  0.7500  0.3570  0.4322  7 Ni 2.55-2.81
Hf  0.2500  0.5712  0.7818  9 Ni 2.62-2.87
Hf  0.2500  0.1430  0.9322  7 Ni 2.55-2.81
Hf  0.7500  0.9288  0.2818  9 Ni 2.62-2.87
Hf  0.2500  0.6430  0.5678  7 Ni 2.55-2.81
Hf  0.7500  0.4288  0.2182  9 Ni 2.62-2.87
Hf  0.2500  0.0712  0.7182  9 Ni 2.62-2.87
Hf  0.7500  0.8570  0.0678  7 Ni 2.55-2.81
Zn  0.2500  0.9959  0.4349  4 Ni 2.44-2.63, 2 Zn 2.65
Zn  0.7500  0.5041  0.9349  4 Ni 2.44-2.63, 2 Zn 2.65
Zn  0.7500  0.0041  0.5651  4 Ni 2.44-2.63, 2 Zn 2.65
Zn  0.2500  0.4959  0.0651  4 Ni 2.44-2.63, 2 Zn 2.65


# 4
A relaxed structure of KErPb4. Source: Alexandria via LeMat-Bulk, functional PBE.

Computed properties:
ΔE_f: -0.077 eV per atom
space group: No. 216
DOS(E_F): 2.44 states/eV/f.u.
magnetization: 0.00 μB per cell

Cell lengths 6.5294, 6.5294, 6.5294 Å; angles 60.00, 60.00, 60.00 degrees
Last column: nearest neighbours and their distance in Å.
Fractional coordinates of all 6 atoms:
Pb  0.6260  0.6260  0.6260  6 Pb 3.24-3.29
Pb  0.1220  0.6260  0.6260  6 Pb 3.24-3.29
Pb  0.6260  0.1220  0.6260  6 Pb 3.24-3.29
Pb  0.6260  0.6260  0.1220  6 Pb 3.24-3.29
K  0.2500  0.2500  0.2500  12 Pb 3.83, 4 Er 4.00
Er  0.0000  0.0000  0.0000  12 Pb 3.83, 4 K 4.00


- Look up the DOS(E_F) of the second one.
  5.05 states/eV/f.u.


- Which value of magnetization does entry 4 give?
  0.00 μB per cell